(1)
An optimized crystal structure of Al9Fe2. Source: the Open Quantum Materials Database, functional PBE.

The space group is P2_1/c (No. 14) and the conventional cell measures 6.1395, 6.3548 and 8.6594 Å, with angles of 90.00, 95.13 and 90.00 degrees. The distinct sites, in fractional coordinates, are Al at (0.0000, 0.0000, 0.0000), Al at (0.0773, 0.1956, 0.7256), Al at (0.2200, 0.6189, 0.0457), Al at (0.3906, 0.1880, 0.9951), Al at (0.4162, 0.5456, 0.7698) and Fe at (0.2633, 0.6176, 0.3346).

Its uncorrected energy is -105.94 eV per cell.

(2)
An optimized crystal structure of La2Ag. Source: the Open Quantum Materials Database, functional PBE.

The space group is Fd-3m (No. 227, origin choice 2) and the conventional cell measures 9.0269, 9.0269 and 9.0269 Å, with angles of 90.00, 90.00 and 90.00 degrees. The distinct sites, in fractional coordinates, are La at (0.0000, 0.0000, 0.0000) and Ag at (0.1250, 0.1250, 0.6250).

The calculation puts the formation energy at 1.175 eV/f.u.

(3)
An optimized crystal structure of ZnCuSnW. Source: the Open Quantum Materials Database, functional PBE.

The space group is F-43m (No. 216) and the conventional cell measures 6.4009, 6.4009 and 6.4009 Å, with angles of 90.00, 90.00 and 90.00 degrees. The distinct sites, in fractional coordinates, are Zn at (0.0000, 0.0000, 0.0000), Cu at (0.2500, 0.2500, 0.7500), Sn at (0.0000, 0.0000, 0.5000) and W at (0.2500, 0.2500, 0.2500).

Its excess energy over the best structure of this formula in the dataset is 0.0 kJ per mole of atoms.

(4)
An optimized crystal structure of BaTmTe2AuSe. Source: the Open Quantum Materials Database, functional PBE.

The space group is Cmcm (No. 63) and the conventional cell measures 4.3372, 15.0851 and 10.8842 Å, with angles of 90.00, 90.00 and 90.00 degrees. The distinct sites, in fractional coordinates, are Ba at (0.0000, 0.2415, 0.2500), Tm at (0.0000, 0.5000, 0.0000), Te at (0.0000, 0.1412, 0.5474), Au at (0.0000, 0.0314, 0.7500) and Se at (0.0000, 0.4264, 0.7500).

Its uncorrected energy is -108.66 eV per cell.